[1]
CuSiS: optimized geometry, PBE.

Results
* symmetry: No. 46
* ΔE_f (raw): -66 meV/atom
* crystal system: orthorhombic
* calculated volume: 49 Å³/f.u.

```
CuSiS
1.0
-3.742 -1.746 3.635
2.353 -2.940 1.009
3.796 5.244 6.427
Si S Cu
4 4 4
Direct
0.500 0.000 0.856 Si
0.000 0.000 0.856 Si
0.500 0.500 0.356 Si
0.000 0.500 0.356 Si
0.750 0.258 0.192 S
0.250 0.758 0.692 S
0.750 0.242 0.692 S
0.250 0.742 0.192 S
0.250 0.415 0.975 Cu
0.250 0.085 0.475 Cu
0.750 0.585 0.975 Cu
0.750 0.915 0.475 Cu
```

[2]
CuSiS: optimized geometry, PBE.

Results
* symmetry: No. 160
* ΔE_f (raw): -70 meV/atom
* crystal system: trigonal
* calculated volume: 47 Å³/f.u.

```
CuSiS
1.0
3.237 0.000 0.000
-1.618 2.803 0.000
0.000 0.000 15.668
Si Cu S
3 3 3
Direct
0.000 0.000 0.382 Si
0.333 0.667 0.048 Si
0.667 0.333 0.715 Si
0.333 0.667 0.480 Cu
0.000 0.000 0.814 Cu
0.667 0.333 0.147 Cu
0.333 0.667 0.625 S
0.667 0.333 0.292 S
0.000 0.000 0.959 S
```

[3]
CuSiS: optimized geometry, PBE.

Results
* symmetry: No. 8
* ΔE_f (raw): -97 meV/atom
* crystal system: monoclinic
* calculated volume: 53 Å³/f.u.

```
CuSiS
1.0
-2.487 -3.136 -3.228
-0.696 -2.037 2.515
-10.116 6.782 2.692
Cu Si S
4 4 4
Direct
0.440 0.500 0.709 Cu
0.440 0.000 0.209 Cu
0.469 0.000 0.868 Cu
0.469 0.500 0.368 Cu
0.101 0.000 0.331 Si
0.286 0.000 0.032 Si
0.286 0.500 0.532 Si
0.101 0.500 0.831 Si
0.814 0.000 0.763 S
0.814 0.500 0.263 S
0.983 0.000 0.502 S
0.983 0.500 0.002 S
```

[4]
Cu3SiS: optimized geometry, PBE.

Results
* ΔE to the lowest computed polymorph: 0 meV per atom
* symmetry: No. 221
* ΔE_f (raw): 563 meV/atom
* crystal system: cubic
* calculated volume: 84 Å³/f.u.

```
Cu3SiS
1.0
4.376 0.000 0.000
0.000 4.376 0.000
0.000 0.000 4.376
Cu Si S
3 1 1
Direct
0.500 0.000 0.000 Cu
0.000 0.500 0.000 Cu
0.000 0.000 0.500 Cu
0.500 0.500 0.500 Si
0.000 0.000 0.000 S
```

[5]
Cu3SiS4: optimized geometry, PBE.

Results
* symmetry: No. 121
* ΔE_f (raw): -431 meV/atom
* crystal system: tetragonal
* calculated volume: 143 Å³/f.u.

```
Cu3SiS4
1.0
-4.139 -3.194 -0.094
3.138 -4.034 -1.106
1.102 2.684 5.700
Cu Si S
3 1 4
Direct
0.250 0.750 0.500 Cu
0.750 0.250 0.500 Cu
0.500 0.500 0.000 Cu
0.000 0.000 0.000 Si
0.359 0.359 0.242 S
0.118 0.641 0.758 S
0.882 0.882 0.242 S
0.641 0.118 0.758 S
```

[6]
Cu2SiS4: optimized geometry, PBE.

Results
* symmetry: No. 12
* ΔE_f (raw): -201 meV/atom
* crystal system: monoclinic
* calculated volume: 130 Å³/f.u.

```
Cu2SiS4
1.0
3.311 0.000 0.000
0.000 6.176 -0.831
-1.656 -3.746 6.853
S Si Cu
4 1 2
Direct
0.602 0.306 0.203 S
0.866 0.063 0.732 S
0.398 0.694 0.797 S
0.134 0.937 0.268 S
0.000 0.000 0.000 Si
0.611 0.676 0.223 Cu
0.389 0.324 0.777 Cu
```

[7]
CuSiS: optimized geometry, PBE.

Results
* symmetry: No. 1
* ΔE_f (raw): -195 meV/atom
* crystal system: triclinic
* calculated volume: 55 Å³/f.u.

```
CuSiS
1.0
3.917 0.000 -0.001
1.959 3.393 0.000
0.814 -0.460 8.205
Si S Cu
2 2 2
Direct
0.663 0.857 0.534 Si
0.355 0.511 0.444 Si
0.454 0.467 0.174 S
0.566 0.908 0.804 S
0.802 0.794 0.138 Cu
0.218 0.582 0.841 Cu
```

[8]
Sm3CuSiS7: optimized geometry, PBE.

Results
* symmetry: No. 173
* ΔE_f (raw): -1548 meV/atom
* crystal system: hexagonal
* calculated volume: 254 Å³/f.u.

```
Sm3CuSiS7
1.0
-4.827 3.469 -8.157
2.485 -9.762 0.622
-5.052 -1.126 2.510
Sm S Cu Si
6 14 2 2
Direct
0.643 0.769 0.750 Sm
0.769 0.125 0.250 Sm
0.231 0.875 0.750 Sm
0.357 0.231 0.250 Sm
0.125 0.357 0.750 Sm
0.875 0.643 0.250 Sm
0.089 0.254 0.232 S
0.523 0.110 0.984 S
0.587 0.477 0.984 S
0.477 0.890 0.484 S
0.890 0.413 0.984 S
0.254 0.165 0.732 S
0.667 0.333 0.470 S
0.413 0.523 0.484 S
0.333 0.667 0.970 S
0.835 0.089 0.732 S
0.911 0.746 0.732 S
0.746 0.835 0.232 S
0.110 0.587 0.484 S
0.165 0.911 0.232 S
0.000 0.000 0.720 Cu
0.000 0.000 0.220 Cu
0.333 0.667 0.337 Si
0.667 0.333 0.837 Si
```

[9]
Tb3CuSiS7: optimized geometry, PBE.

Results
* symmetry: No. 173
* ΔE_f (raw): -1535 meV/atom
* crystal system: hexagonal
* calculated volume: 244 Å³/f.u.

```
Tb3CuSiS7
1.0
9.937 0.000 0.000
-4.969 8.606 0.000
0.000 0.000 5.711
Tb Cu S Si
6 2 14 2
Direct
0.771 0.127 0.248 Tb
0.643 0.771 0.748 Tb
0.127 0.357 0.748 Tb
0.357 0.229 0.248 Tb
0.873 0.643 0.248 Tb
0.229 0.873 0.748 Tb
0.000 0.000 0.707 Cu
0.000 0.000 0.207 Cu
0.907 0.743 0.723 S
0.893 0.415 0.985 S
0.743 0.836 0.223 S
0.477 0.893 0.485 S
0.093 0.257 0.223 S
0.415 0.523 0.485 S
0.333 0.667 0.966 S
0.667 0.333 0.466 S
0.836 0.093 0.723 S
0.523 0.107 0.985 S
0.585 0.477 0.985 S
0.164 0.907 0.223 S
0.257 0.164 0.723 S
0.107 0.585 0.485 S
0.333 0.667 0.336 Si
0.667 0.333 0.836 Si
```

[10]
TmCuSi2S6: optimized geometry, PBE.

Results
* symmetry: No. 15
* ΔE_f (raw): -857 meV/atom
* crystal system: monoclinic
* calculated volume: 216 Å³/f.u.

```
TmCuSi2S6
1.0
6.426 0.025 0.026
2.087 8.203 0.206
2.087 -0.098 8.205
Tm S Si Cu
2 12 4 2
Direct
0.250 0.870 0.130 Tm
0.750 0.130 0.870 Tm
0.336 0.188 0.051 S
0.836 0.051 0.188 S
0.003 0.695 0.565 S
0.664 0.812 0.949 S
0.497 0.435 0.305 S
0.592 0.127 0.610 S
0.503 0.565 0.695 S
0.092 0.610 0.127 S
0.997 0.305 0.435 S
0.908 0.390 0.873 S
0.164 0.949 0.812 S
0.408 0.873 0.390 S
0.274 0.771 0.619 Si
0.774 0.619 0.771 Si
0.726 0.229 0.381 Si
0.226 0.381 0.229 Si
0.750 0.788 0.212 Cu
0.250 0.212 0.788 Cu
```

[11]
Y3CuSiS7: optimized geometry, PBE.

Results
* symmetry: No. 173
* ΔE_f (raw): -1524 meV/atom
* crystal system: hexagonal
* calculated volume: 243 Å³/f.u.

```
Y3CuSiS7
1.0
-5.956 -7.403 -2.853
4.580 -0.425 8.790
-4.443 2.633 2.442
Si S Y Cu
2 14 6 2
Direct
0.667 0.333 0.832 Si
0.333 0.667 0.332 Si
0.584 0.477 0.982 S
0.258 0.164 0.717 S
0.742 0.836 0.217 S
0.667 0.333 0.462 S
0.906 0.742 0.717 S
0.477 0.893 0.482 S
0.094 0.258 0.217 S
0.164 0.906 0.217 S
0.836 0.094 0.717 S
0.893 0.416 0.982 S
0.523 0.107 0.982 S
0.333 0.667 0.962 S
0.107 0.584 0.482 S
0.416 0.523 0.482 S
0.229 0.872 0.743 Y
0.128 0.357 0.743 Y
0.357 0.229 0.243 Y
0.771 0.128 0.243 Y
0.872 0.643 0.243 Y
0.643 0.771 0.743 Y
0.000 0.000 0.201 Cu
0.000 0.000 0.701 Cu
```

[12]
SmCuS2: optimized geometry, PBE.

Results
* symmetry: No. 166
* ΔE_f (raw): -1289 meV/atom
* crystal system: trigonal
* calculated volume: 110 Å³/f.u.

```
SmCuS2
1.0
-4.068 0.683 -0.938
-1.991 -2.527 -2.747
-3.958 -4.863 4.085
Cu S Sm
1 2 1
Direct
0.000 0.000 0.000 Cu
0.100 0.100 0.699 S
0.900 0.900 0.301 S
0.500 0.500 0.500 Sm
```

Q: Which of these has the lowest calculated volume?
A: number 2

Q: Number 6 is which compound?
A: Cu2SiS4

Q: ΔE_f (raw) of number 4 (Cu3SiS)?
A: 563 meV/atom

Please write out number 2 again, unchanged.
CuSiS: optimized geometry, PBE.

Results
* symmetry: No. 160
* ΔE_f (raw): -70 meV/atom
* crystal system: trigonal
* calculated volume: 47 Å³/f.u.

```
CuSiS
1.0
3.237 0.000 0.000
-1.618 2.803 0.000
0.000 0.000 15.668
Si Cu S
3 3 3
Direct
0.000 0.000 0.382 Si
0.333 0.667 0.048 Si
0.667 0.333 0.715 Si
0.333 0.667 0.480 Cu
0.000 0.000 0.814 Cu
0.667 0.333 0.147 Cu
0.333 0.667 0.625 S
0.667 0.333 0.292 S
0.000 0.000 0.959 S
```